VASP calculation (PBE-GGA) on a relaxed Tb8Ho3Tm3 crystal.

Results
Formation energy from the elements   0.1141 eV/atom
Crystal system   orthorhombic
Distance to the lowest polymorph of the same formula   0.0 kJ per mole of atoms

The structure in CIF format:
```
data_Tb8Ho3Tm3
_symmetry_space_group_name_H-M 'I m m m'
_symmetry_Int_Tables_number 71
_symmetry_space_group_name_Hall '-I 2 2'
_cell_length_a 5.573
_cell_length_b 10.704
_cell_length_c 14.808
_cell_angle_alpha 90.00
_cell_angle_beta 90.00
_cell_angle_gamma 90.00
loop_
_atom_site_label
_atom_site_type_symbol
_atom_site_fract_x
_atom_site_fract_y
_atom_site_fract_z
Tb1 Tb 0.000 0.158 0.223
Tb2 Tb 0.000 0.340 0.397
Ho1 Ho 0.000 0.000 0.500
Ho2 Ho 0.000 0.500 0.181
Tm1 Tm 0.000 0.000 0.000
Tm2 Tm 0.000 0.299 0.000
```